[1]
Compound: MnInI2O
Source: Alexandria
Functional: GGA+U
Structure: optimized geometry

Cell lengths 6.1076, 6.1076, 3.7628 Å; angles 90.00, 90.00, 90.00 degrees
Space group P4/mmm (No. 123)
Inequivalent atoms, fractional coordinates:
Mn 0.0000 0.0000 0.0000
In 0.5000 0.5000 0.5000
I 0.0000 0.5000 0.0000
O 0.0000 0.0000 0.5000

Its energy above the most stable polymorph in this dataset is 0.0 meV/atom. The value obtained for the energy is -4.21 eV/atom. Its magnetic moment is 4.07 μB/f.u.

=====

[2]
Compound: Ho2Co2O7
Source: Alexandria
Functional: GGA+U
Structure: optimized geometry

Cell lengths 9.8539, 9.8539, 9.8539 Å; angles 90.00, 90.00, 90.00 degrees
Space group Fd-3m (No. 227, origin choice 2)
Inequivalent atoms, fractional coordinates:
Ho 0.0000 0.0000 0.0000
Co 0.0000 0.0000 0.5000
O 0.0783 0.3750 0.8750
O 0.1250 0.1250 0.1250

The value obtained for the energy is -6.91 eV/atom. Its magnetic moment is 2.00 μB/f.u.